#P
# KTmIn2

A relaxed structure of KTmIn2 (PBE, the Alexandria database).

Geometry as CIF:
```
data_KTmIn2
_cell_length_a 3.801
_cell_length_b 3.801
_cell_length_c 8.586
_cell_angle_alpha 90.00
_cell_angle_beta 90.00
_cell_angle_gamma 90.00
_symmetry_space_group_name_H-M 'P 4/m m m'
_symmetry_Int_Tables_number 123
_symmetry_space_group_name_Hall '-P 4 2'
loop_
_atom_site_label
_atom_site_fract_x
_atom_site_fract_y
_atom_site_fract_z
K1 0.000 0.000 0.000
Tm1 0.000 0.000 0.500
In1 0.500 0.500 0.298
```

Results
magnetization = 0.00 μB/cell


#Q
# KTmIn2

A relaxed structure of KTmIn2 (PBE, the Alexandria database).

Geometry as CIF:
```
data_KTmIn2
_cell_length_a 3.6180
_cell_length_b 3.6180
_cell_length_c 32.9883
_cell_angle_alpha 90.00
_cell_angle_beta 90.00
_cell_angle_gamma 120.00
_symmetry_space_group_name_H-M 'R -3 m'
_symmetry_Int_Tables_number 166
_symmetry_space_group_name_Hall '-R 3 2"'
loop_
_atom_site_label
_atom_site_fract_x
_atom_site_fract_y
_atom_site_fract_z
K1 0.0000 0.0000 0.0000
Tm1 0.0000 0.0000 0.5000
In1 0.0000 0.0000 0.2421
```

Results
magnetization = 0.00 μB/cell


Winner for stability: #P


#P
# KV3In

A relaxed structure of KV3In (PBE, the Alexandria database).

Geometry as CIF:
```
data_KV3In
_cell_length_a 5.324
_cell_length_b 5.324
_cell_length_c 5.324
_cell_angle_alpha 90.00
_cell_angle_beta 90.00
_cell_angle_gamma 90.00
_symmetry_space_group_name_H-M 'P m -3 m'
_symmetry_Int_Tables_number 221
_symmetry_space_group_name_Hall '-P 4 2 3'
loop_
_atom_site_label
_atom_site_fract_x
_atom_site_fract_y
_atom_site_fract_z
K1 0.000 0.000 0.000
V1 0.000 0.500 0.500
In1 0.500 0.500 0.500
```

Results
magnetization = 11.01 μB/cell


#Q
# KV3In

A relaxed structure of KV3In (PBE, the Alexandria database).

Geometry as CIF:
```
data_KV3In
_cell_length_a 4.378
_cell_length_b 4.378
_cell_length_c 4.378
_cell_angle_alpha 90.00
_cell_angle_beta 90.00
_cell_angle_gamma 90.00
_symmetry_space_group_name_H-M 'P m -3 m'
_symmetry_Int_Tables_number 221
_symmetry_space_group_name_Hall '-P 4 2 3'
loop_
_atom_site_label
_atom_site_fract_x
_atom_site_fract_y
_atom_site_fract_z
K1 0.000 0.000 0.000
V1 0.000 0.000 0.500
In1 0.500 0.500 0.500
```

Results
magnetization = 0.00 μB/cell


Winner for stability: #P


#P
# KVIn3

A relaxed structure of KVIn3 (PBE, the Alexandria database).

Geometry as CIF:
```
data_KVIn3
_cell_length_a 5.843
_cell_length_b 5.843
_cell_length_c 5.843
_cell_angle_alpha 90.00
_cell_angle_beta 90.00
_cell_angle_gamma 90.00
_symmetry_space_group_name_H-M 'P m -3 m'
_symmetry_Int_Tables_number 221
_symmetry_space_group_name_Hall '-P 4 2 3'
loop_
_atom_site_label
_atom_site_fract_x
_atom_site_fract_y
_atom_site_fract_z
K1 0.000 0.000 0.000
V1 0.500 0.500 0.500
In1 0.000 0.000 0.500
```

Results
magnetization = 3.74 μB/cell


#Q
# KVIn3

A relaxed structure of KVIn3 (PBE, the Alexandria database).

Geometry as CIF:
```
data_KVIn3
_cell_length_a 5.374
_cell_length_b 5.374
_cell_length_c 5.374
_cell_angle_alpha 90.00
_cell_angle_beta 90.00
_cell_angle_gamma 90.00
_symmetry_space_group_name_H-M 'P m -3 m'
_symmetry_Int_Tables_number 221
_symmetry_space_group_name_Hall '-P 4 2 3'
loop_
_atom_site_label
_atom_site_fract_x
_atom_site_fract_y
_atom_site_fract_z
K1 0.000 0.000 0.000
V1 0.500 0.500 0.500
In1 0.000 0.500 0.500
```

Results
magnetization = 2.70 μB/cell


Winner for stability: #Q


#P
# KIn2W

A relaxed structure of KIn2W (PBE, the Alexandria database).

Geometry as CIF:
```
data_KIn2W
_cell_length_a 2.989
_cell_length_b 2.989
_cell_length_c 10.289
_cell_angle_alpha 90.00
_cell_angle_beta 90.00
_cell_angle_gamma 90.00
_symmetry_space_group_name_H-M 'P 4/m m m'
_symmetry_Int_Tables_number 123
_symmetry_space_group_name_Hall '-P 4 2'
loop_
_atom_site_label
_atom_site_fract_x
_atom_site_fract_y
_atom_site_fract_z
K1 0.000 0.000 0.000
In1 0.500 0.500 0.284
W1 0.000 0.000 0.500
```

Results
magnetization = 0.00 μB/cell


#Q
# KIn2W

A relaxed structure of KIn2W (PBE, the Alexandria database).

Geometry as CIF:
```
data_KIn2W
_cell_length_a 2.929
_cell_length_b 4.851
_cell_length_c 16.679
_cell_angle_alpha 90.00
_cell_angle_beta 90.00
_cell_angle_gamma 90.00
_symmetry_space_group_name_H-M 'I m m 2'
_symmetry_Int_Tables_number 44
loop_
_symmetry_equiv_pos_as_xyz
'x,y,z'
'-x,-y,z'
'-x,y,z'
'x,-y,z'
'x+1/2,y+1/2,z+1/2'
'-x+1/2,-y+1/2,z+1/2'
'-x+1/2,y+1/2,z+1/2'
'x+1/2,-y+1/2,z+1/2'
loop_
_atom_site_label
_atom_site_fract_x
_atom_site_fract_y
_atom_site_fract_z
K1 0.000 0.000 0.000
In1 0.000 0.000 0.652
In2 0.000 0.500 0.819
W1 0.000 0.500 0.298
```

Results
magnetization = 0.28 μB/cell


Winner for stability: #P


#P
# KYIn2

A relaxed structure of KYIn2 (PBE, the Alexandria database).

Geometry as CIF:
```
data_KYIn2
_cell_length_a 7.857
_cell_length_b 7.857
_cell_length_c 7.857
_cell_angle_alpha 90.00
_cell_angle_beta 90.00
_cell_angle_gamma 90.00
_symmetry_space_group_name_H-M 'F -4 3 m'
_symmetry_Int_Tables_number 216
_symmetry_space_group_name_Hall 'F -4 2 3'
loop_
_atom_site_label
_atom_site_fract_x
_atom_site_fract_y
_atom_site_fract_z
K1 0.000 0.000 0.000
Y1 0.250 0.250 0.750
In1 0.000 0.000 0.500
In2 0.250 0.250 0.250
```

Results
magnetization = 1.34 μB/cell


#Q
# KYIn2

A relaxed structure of KYIn2 (PBE, the Alexandria database).

Geometry as CIF:
```
data_KYIn2
_cell_length_a 3.521
_cell_length_b 5.755
_cell_length_c 12.101
_cell_angle_alpha 90.00
_cell_angle_beta 90.00
_cell_angle_gamma 90.00
_symmetry_space_group_name_H-M 'I m m 2'
_symmetry_Int_Tables_number 44
loop_
_symmetry_equiv_pos_as_xyz
'x,y,z'
'-x,-y,z'
'-x,y,z'
'x,-y,z'
'x+1/2,y+1/2,z+1/2'
'-x+1/2,-y+1/2,z+1/2'
'-x+1/2,y+1/2,z+1/2'
'x+1/2,-y+1/2,z+1/2'
loop_
_atom_site_label
_atom_site_fract_x
_atom_site_fract_y
_atom_site_fract_z
K1 0.000 0.000 0.000
Y1 0.000 0.500 0.796
In1 0.000 0.000 0.528
In2 0.000 0.500 0.236
```

Results
magnetization = 0.00 μB/cell


Winner for stability: #Q


#P
# KYIn2

A relaxed structure of KYIn2 (PBE, the Alexandria database).

Geometry as CIF:
```
data_KYIn2
_cell_length_a 3.596
_cell_length_b 3.596
_cell_length_c 10.273
_cell_angle_alpha 90.00
_cell_angle_beta 90.00
_cell_angle_gamma 90.00
_symmetry_space_group_name_H-M 'P 4 m m'
_symmetry_Int_Tables_number 99
loop_
_symmetry_equiv_pos_as_xyz
'x,y,z'
'-y,x,z'
'-x,-y,z'
'y,-x,z'
'-x,y,z'
'y,x,z'
'x,-y,z'
'-y,-x,z'
loop_
_atom_site_label
_atom_site_fract_x
_atom_site_fract_y
_atom_site_fract_z
K1 0.000 0.000 0.000
Y1 0.500 0.500 0.348
In1 0.000 0.000 0.541
In2 0.500 0.500 0.733
```

Results
magnetization = 0.19 μB/cell


#Q
# KYIn2

A relaxed structure of KYIn2 (PBE, the Alexandria database).

Geometry as CIF:
```
data_KYIn2
_cell_length_a 8.785
_cell_length_b 8.785
_cell_length_c 7.182
_cell_angle_alpha 90.00
_cell_angle_beta 90.00
_cell_angle_gamma 90.00
_symmetry_space_group_name_H-M 'I -4 2 d'
_symmetry_Int_Tables_number 122
_symmetry_space_group_name_Hall 'I -4 2bw'
loop_
_atom_site_label
_atom_site_fract_x
_atom_site_fract_y
_atom_site_fract_z
K1 0.000 0.000 0.000
Y1 0.000 0.000 0.500
In1 0.224 0.750 0.625
```

Results
magnetization = 0.00 μB/cell


Winner for stability: #P